(1)
Density functional theory data (GGA-PBE) for a relaxed structure of LiLa2Sb2.

CIF file:
```
data_LiLa2Sb2
_symmetry_space_group_name_H-M 'P 4/m b m'
_symmetry_Int_Tables_number 127
_symmetry_space_group_name_Hall '-P 4 2ab'
_cell_length_a 8.415
_cell_length_b 8.415
_cell_length_c 4.356
_cell_angle_alpha 90.00
_cell_angle_beta 90.00
_cell_angle_gamma 90.00
loop_
_atom_site_label
_atom_site_fract_x
_atom_site_fract_y
_atom_site_fract_z
Li1 0.000 0.000 0.000
La1 0.150 0.350 0.500
Sb1 0.158 0.658 0.000
```

- ρ: 5.687 g cm⁻³
- DFT total energy: -4.957 eV per atom
- Energy relative to the elements, uncorrected: -4.774 eV per formula unit

***

(2)
Density functional theory data (GGA-PBE) for a relaxed structure of Li2LaSb2.

CIF file:
```
data_Li2LaSb2
_symmetry_space_group_name_H-M 'I 4/m m m'
_symmetry_Int_Tables_number 139
_symmetry_space_group_name_Hall '-I 4 2'
_cell_length_a 4.427
_cell_length_b 4.427
_cell_length_c 12.437
_cell_angle_alpha 90.00
_cell_angle_beta 90.00
_cell_angle_gamma 90.00
loop_
_atom_site_label
_atom_site_fract_x
_atom_site_fract_y
_atom_site_fract_z
Li1 0.000 0.500 0.250
La1 0.000 0.000 0.000
Sb1 0.000 0.000 0.380
```

- ρ: 5.399 g cm⁻³
- DFT total energy: -4.187 eV per atom
- Energy relative to the elements, uncorrected: -3.937 eV per formula unit